Record 1
The following is a PBE calculation of an optimized crystal structure of UPaAs, from the Alexandria database.

abc: 4.9812 4.9812 3.0170
angles: 90.00 90.00 120.00
Closest atoms and distances in Å follow each position.
Positions (direct):
U: 0.0000 0.0000 0.0000  3 As 2.95, 2 U 3.02, 6 Pa 3.23-3.27
Pa: 0.6667 0.3333 0.5128  3 As 3.01, 2 Pa 3.02, 6 U 3.23-3.27
As: 0.3333 0.6667 0.2162  3 U 2.95, 3 Pa 3.01, 2 As 3.02

Calculated values
Its formation energy is -87 meV/atom. Its space-group type is P3m1 (156). The total energy is -8.56 eV/atom. The total magnetic moment comes out at 1.53 μB per formula unit. Its crystal system is trigonal. The excess energy over the best structure of this formula in the dataset comes out at 6.17 kcal/mol of atoms.


Record 2
The following is a PBE calculation of an optimized crystal structure of UPa4As5, from the Alexandria database.

abc: 10.8512 10.8512 10.8512
angles: 158.31 149.07 38.09
Closest atoms and distances in Å follow each position.
Positions (direct):
U: 0.0000 0.0000 0.0000  6 As 2.89
Pa: 0.1997 0.1997 0.0000  6 As 2.89-2.90
Pa: 0.4002 0.4002 0.0000  6 As 2.89-2.90
Pa: 0.5998 0.5998 0.0000  6 As 2.89-2.90
Pa: 0.8003 0.8003 0.0000  6 As 2.89-2.90
As: 0.0997 0.5997 0.5000  2 U 2.89, 4 Pa 2.89
As: 0.3000 0.8000 0.5000  6 Pa 2.89-2.90
As: 0.5000 0.0000 0.5000  4 Pa 2.89, 2 U 2.89
As: 0.7000 0.2000 0.5000  6 Pa 2.89-2.90
As: 0.9003 0.4003 0.5000  2 U 2.89, 4 Pa 2.89

Calculated values
Its formation energy is -991 meV/atom. Its space-group type is Immm (71). The total energy is -8.24 eV/atom. The total magnetic moment comes out at 2.11 μB per formula unit. Its crystal system is orthorhombic.


Record 3
The following is a PBE calculation of an optimized crystal structure of U3PaAs4, from the Alexandria database.

abc: 7.0996 7.0996 4.0517
angles: 90.00 90.00 108.99
Closest atoms and distances in Å follow each position.
Positions (direct):
U: 0.0000 0.0000 0.0000  6 As 2.89
U: 0.0000 0.5000 0.5000  6 As 2.89
U: 0.5000 0.0000 0.5000  6 As 2.89
Pa: 0.5000 0.5000 0.0000  6 As 2.89
As: 0.2497 0.2497 0.5000  4 U 2.89, 2 Pa 2.89
As: 0.2500 0.7500 0.0000  1 Pa 2.89, 5 U 2.89
As: 0.7500 0.2500 0.0000  1 Pa 2.89, 5 U 2.89
As: 0.7503 0.7503 0.5000  4 U 2.89, 2 Pa 2.89

Calculated values
Its formation energy is -798 meV/atom. Its space-group type is Cmmm (65). The total energy is -8.54 eV/atom. The total magnetic moment comes out at 7.36 μB per formula unit. Its crystal system is orthorhombic.


Record 4
The following is a PBE calculation of an optimized crystal structure of UPaAs, from the Alexandria database.

abc: 5.2408 5.2408 5.2408
angles: 136.60 136.60 63.06
Closest atoms and distances in Å follow each position.
Positions (direct):
U: 0.0000 0.0000 0.0000  1 Pa 2.61
Pa: 0.2925 0.2925 0.0000  1 U 2.61
As: 0.6433 0.6433 0.0000  5 U 3.02-3.19, 5 Pa 3.05-3.13

Calculated values
Its formation energy is -355 meV/atom. Its space-group type is I4mm (107). The total energy is -8.83 eV/atom. The total magnetic moment comes out at 3.05 μB per formula unit. Its crystal system is tetragonal. The excess energy over the best structure of this formula in the dataset comes out at 0.00 kcal/mol of atoms.


Record 5
The following is a PBE calculation of an optimized crystal structure of Y2UPaAs4, from the Alexandria database.

abc: 7.0863 4.0960 7.1657
angles: 90.00 109.31 90.00
Closest atoms and distances in Å follow each position.
Positions (direct):
Y: 0.0000 0.0000 0.0000  6 As 2.91-2.92
Y: 0.5000 0.5000 0.0000  6 As 2.91
U: 0.0000 0.5000 0.5000  6 As 2.90
Pa: 0.5000 0.0000 0.5000  6 As 2.90
As: 0.2495 0.0000 0.7479  1 Pa 2.90, 2 U 2.90, 3 Y 2.91-2.92
As: 0.2508 0.5000 0.2519  2 Pa 2.90, 1 U 2.90, 3 Y 2.91
As: 0.7492 0.5000 0.7481  2 Pa 2.90, 1 U 2.90, 3 Y 2.91
As: 0.7505 0.0000 0.2521  1 Pa 2.90, 2 U 2.90, 3 Y 2.91-2.92

Calculated values
Its formation energy is -1216 meV/atom. Its space-group type is P2/m (10). The total energy is -7.76 eV/atom. The total magnetic moment comes out at 3.31 μB per formula unit. Its crystal system is monoclinic.


Record 6
The following is a PBE calculation of an optimized crystal structure of Zr2UPaAs4, from the Alexandria database.

abc: 6.8720 3.9777 6.9139
angles: 90.00 109.46 90.00
Closest atoms and distances in Å follow each position.
Positions (direct):
Zr: 0.0000 0.0000 0.0000  6 As 2.77
Zr: 0.0000 0.5000 0.5000  6 As 2.76
U: 0.5000 0.0000 0.5000  6 As 2.86
Pa: 0.5000 0.5000 0.0000  6 As 2.87
As: 0.2364 0.0000 0.7447  3 Zr 2.76-2.77, 1 U 2.86, 2 Pa 2.87
As: 0.2369 0.5000 0.2462  3 Zr 2.76-2.77, 2 U 2.86, 1 Pa 2.87
As: 0.7631 0.5000 0.7538  3 Zr 2.76-2.77, 2 U 2.86, 1 Pa 2.87
As: 0.7636 0.0000 0.2553  3 Zr 2.76-2.77, 1 U 2.86, 2 Pa 2.87

Calculated values
Its formation energy is -1032 meV/atom. Its space-group type is P2/m (10). The total energy is -8.09 eV/atom. The total magnetic moment comes out at 2.62 μB per formula unit. Its crystal system is monoclinic.


Record 7
The following is a PBE calculation of an optimized crystal structure of ZrU2PaAs4, from the Alexandria database.

abc: 6.9547 4.0062 7.0512
angles: 90.00 108.99 90.00
Closest atoms and distances in Å follow each position.
Positions (direct):
Zr: 0.0000 0.0000 0.0000  6 As 2.79-2.80
U: 0.5000 0.0000 0.5000  6 As 2.91
U: 0.5000 0.5000 0.0000  6 As 2.84-2.85
Pa: 0.0000 0.5000 0.5000  6 As 2.86
As: 0.2422 0.5000 0.2403  2 Zr 2.80, 3 U 2.84-2.91, 1 Pa 2.86
As: 0.2460 0.0000 0.7569  1 Zr 2.79, 3 U 2.85-2.91, 2 Pa 2.86
As: 0.7540 0.0000 0.2431  1 Zr 2.79, 3 U 2.85-2.91, 2 Pa 2.86
As: 0.7578 0.5000 0.7597  2 Zr 2.80, 3 U 2.84-2.91, 1 Pa 2.86

Calculated values
Its formation energy is -906 meV/atom. Its space-group type is P2/m (10). The total energy is -8.31 eV/atom. The total magnetic moment comes out at 0.01 μB per formula unit. Its crystal system is monoclinic.


Record 8
The following is a PBE calculation of an optimized crystal structure of PaVAs, from the Alexandria database.

abc: 7.9999 7.9999 7.9999
angles: 159.57 159.57 29.06
Closest atoms and distances in Å follow each position.
Positions (direct):
Pa: 0.0000 0.0000 0.0000  4 Pa 2.84, 1 As 2.98, 4 V 3.07
V: 0.3503 0.3503 0.0000  1 As 2.44
As: 0.1925 0.1925 0.0000  1 V 2.44

Calculated values
Its formation energy is 367 meV/atom. Its space-group type is I4mm (107). The total energy is -7.39 eV/atom. The total magnetic moment comes out at 0.00 μB per formula unit. Its crystal system is tetragonal.


Record 9
The following is a PBE calculation of an optimized crystal structure of PaVAs2, from the Alexandria database.

abc: 4.6783 4.6783 3.5202
angles: 90.00 90.00 90.00
Closest atoms and distances in Å follow each position.
Positions (direct):
Pa: 0.0000 0.0000 0.0000  8 As 2.93
V: 0.5000 0.5000 0.0000  8 As 2.93
As: 0.0000 0.5000 0.5000  4 Pa 2.93, 4 V 2.93
As: 0.5000 0.0000 0.5000  4 Pa 2.93, 4 V 2.93

Calculated values
Its formation energy is -476 meV/atom. Its space-group type is P4/mmm (123). The total energy is -7.45 eV/atom. The total magnetic moment comes out at 2.66 μB per formula unit. Its crystal system is tetragonal. The excess energy over the best structure of this formula in the dataset comes out at 1.40 kcal/mol of atoms.


Record 10
The following is a PBE calculation of an optimized crystal structure of PaVAs2, from the Alexandria database.

abc: 8.2510 8.2510 8.2510
angles: 29.71 29.71 29.71
Closest atoms and distances in Å follow each position.
Positions (direct):
Pa: 0.0000 0.0000 0.0000  6 As 2.84
V: 0.5000 0.5000 0.5000  2 As 2.48
As: 0.3950 0.3950 0.3950  1 V 2.48
As: 0.6050 0.6050 0.6050  1 V 2.48

Calculated values
Its formation energy is 156 meV/atom. Its space-group type is R-3m (166). The total energy is -6.82 eV/atom. The total magnetic moment comes out at 4.02 μB per formula unit. Its crystal system is trigonal. The excess energy over the best structure of this formula in the dataset comes out at 15.97 kcal/mol of atoms.


Record 11
The following is a PBE calculation of an optimized crystal structure of PaVAs2, from the Alexandria database.

abc: 6.5952 6.5952 6.5952
angles: 147.25 147.25 47.00
Closest atoms and distances in Å follow each position.
Positions (direct):
Pa: 0.0000 0.0000 0.0000  8 As 3.02
V: 0.2500 0.7500 0.5000  4 As 2.42
As: 0.3777 0.3777 0.0000  2 V 2.42
As: 0.6223 0.6223 0.0000  2 V 2.42

Calculated values
Its formation energy is -443 meV/atom. Its space-group type is I-4m2 (119). The total energy is -7.42 eV/atom. The total magnetic moment comes out at 1.14 μB per formula unit. Its crystal system is tetragonal. The excess energy over the best structure of this formula in the dataset comes out at 2.17 kcal/mol of atoms.


Record 12
The following is a PBE calculation of an optimized crystal structure of PaVAs, from the Alexandria database.

abc: 4.3684 4.3684 3.5362
angles: 90.00 90.00 120.00
Closest atoms and distances in Å follow each position.
Positions (direct):
Pa: 0.0000 0.0000 0.0000  6 As 3.08, 6 V 3.08
V: 0.6667 0.3333 0.5000  3 As 2.52
As: 0.3333 0.6667 0.5000  3 V 2.52

Calculated values
Its formation energy is -385 meV/atom. Its space-group type is P-6m2 (187). The total energy is -8.14 eV/atom. The total magnetic moment comes out at 1.76 μB per formula unit. Its crystal system is hexagonal.


Record 13
The following is a PBE calculation of an optimized crystal structure of PaVAs2, from the Alexandria database.

abc: 4.7056 4.7056 4.7056
angles: 60.00 60.00 60.00
Closest atoms and distances in Å follow each position.
Positions (direct):
Pa: 0.0000 0.0000 0.0000  8 As 2.88
V: 0.5000 0.5000 0.5000  8 As 2.88
As: 0.2500 0.2500 0.2500  4 V 2.88, 4 Pa 2.88
As: 0.7500 0.7500 0.7500  4 Pa 2.88, 4 V 2.88

Calculated values
Its formation energy is -537 meV/atom. Its space-group type is Fm-3m (225). The total energy is -7.52 eV/atom. The total magnetic moment comes out at 0.00 μB per formula unit. Its crystal system is cubic. The excess energy over the best structure of this formula in the dataset comes out at 0.00 kcal/mol of atoms.